# Cs2KTmI6, optimized geometry, DFT PBE-GGA
# SG = Pmmn
# Size of the total moment = 0.000 μB per atom
# Raw formation energy = -1476 meV per atom
data_Cs2KTmI6
_chemical_formula_sum 'Cs4 K2 Tm2 I12'
_cell_length_a 8.724
_cell_length_b 12.795
_cell_length_c 9.542
_cell_angle_alpha 90.00
_cell_angle_beta 90.00
_cell_angle_gamma 90.00
_space_group_name_H-M_alt 'P 1'
_space_group_IT_number 1
loop_
_space_group_symop_operation_xyz
'x,y,z'
loop_
_atom_site_label
_atom_site_fract_x
_atom_site_fract_y
_atom_site_fract_z
Cs1 0.250 0.033 0.198
Cs2 0.250 0.467 0.198
Cs3 0.750 0.533 0.802
Cs4 0.750 0.967 0.802
K1 0.250 0.250 0.711
K2 0.750 0.750 0.289
Tm1 0.250 0.750 0.783
Tm2 0.750 0.250 0.217
I1 0.001 0.750 0.569
I2 0.012 0.750 0.013
I3 0.250 0.515 0.785
I4 0.250 0.985 0.785
I5 0.488 0.750 0.013
I6 0.499 0.750 0.569
I7 0.501 0.250 0.431
I8 0.512 0.250 0.987
I9 0.750 0.015 0.215
I10 0.750 0.485 0.215
I11 0.988 0.250 0.987
I12 0.999 0.250 0.431